DFT (GGA-PBE) results for a relaxed structure of GdBe.

```
GdBe
1.0
4.8273 0.0000 0.0000
-2.4136 4.1805 0.0000
0.0000 0.0000 4.0544
Gd Be
2 2
Direct
0.3333 0.6667 0.2500
0.6667 0.3333 0.7500
0.0000 0.0000 0.0000
0.0000 0.0000 0.5000
```

Results
- relative energy among the computed polymorphs (eV per atom) = 0.000
- spin magnetization (Bohr magnetons per cell) = 0.01
- V (Å³/cell) = 82
- mass density (Mg/m³) = 6.7